Compound: ZnGa2GeSe6
Source: Alexandria via LeMat-Bulk
Functional: PBE-GGA
Structure: relaxed

Values from the calculation:
Raw formation energy, eV per atom: -0.39
Final energy, eV per atom: -3.675
Total magnetization, μB per formula unit: 0.00

POSCAR file:
```
ZnGa2GeSe6
1.0
6.660 0.237 0.246
2.435 9.339 -0.641
2.435 -0.987 9.309
Ge Se Zn Ga
2 12 2 4
Direct
0.250 0.201 0.799 Ge
0.750 0.799 0.201 Ge
0.458 0.571 0.717 Se
0.899 0.398 0.871 Se
0.542 0.429 0.283 Se
0.412 0.197 0.994 Se
0.042 0.283 0.429 Se
0.101 0.602 0.129 Se
0.912 0.994 0.197 Se
0.958 0.717 0.571 Se
0.088 0.006 0.803 Se
0.601 0.129 0.602 Se
0.399 0.871 0.398 Se
0.588 0.803 0.006 Se
0.250 0.797 0.203 Zn
0.750 0.203 0.797 Zn
0.269 0.761 0.620 Ga
0.769 0.620 0.761 Ga
0.731 0.239 0.380 Ga
0.231 0.380 0.239 Ga
```